A plane-wave DFT calculation with GGA-PBEsol was carried out for an optimized crystal structure of FeMo2Rh.

The total DFT energy (no corrections) is -9.971 eV per atom. The value obtained for the density of states at the Fermi level is 0.970 states/eV/atom.

Cell lengths 2.6880, 2.6880, 26.6776 Å; angles 90.00, 90.00, 120.00 degrees
Space group R3m (No. 160, hexagonal axes)
Symmetry-distinct sites (fractional):
Fe1 0.0000 0.0000 0.0000 (multiplicity 3)
Mo1 0.0000 0.0000 0.5059 (multiplicity 3)
Mo2 0.0000 0.0000 0.7471 (multiplicity 3)
Rh1 0.0000 0.0000 0.2557 (multiplicity 3)